Entry 1:
DFT (PBE-GGA) results for crystalline SmDy4Te2 at its relaxed geometry.

```
SmDy4Te2
1.0
2.721 1.571 8.914
-2.721 1.571 8.914
0.000 -3.142 8.914
Sm Dy Te
1 4 2
Direct
0.000 0.000 0.000
0.234 0.234 0.234
0.366 0.366 0.366
0.634 0.634 0.634
0.766 0.766 0.766
0.117 0.117 0.117
0.883 0.883 0.883
```

=====

Entry 2:
KBaW2 PBE-GGA relaxed; energy relative to the lowest polymorph listed for this composition = 0.0 kJ/mol of atoms; E_form = 0.90 eV/atom
1.0
3.428 0.000 0.000
0.000 3.428 0.000
0.000 0.000 10.722
K Ba W
1 1 2
Direct
0.000 0.000 0.000
0.500 0.500 0.604
0.000 0.000 0.359
0.500 0.500 0.267

=====

Entry 3:
TbCo6Ge6 PBE-GGA relaxed; E_form = -0.35 eV/atom
1.0
-2.550 3.932 4.408
2.550 -3.932 4.408
2.550 3.932 -4.408
Tb Co Ge
1 6 6
Direct
0.000 0.000 0.000
0.000 0.000 0.500
0.000 0.500 0.000
0.253 0.500 0.753
0.500 0.000 0.000
0.500 0.500 0.500
0.747 0.500 0.247
0.170 0.670 0.500
0.337 0.337 0.000
0.345 0.000 0.345
0.655 0.000 0.655
0.663 0.663 0.000
0.830 0.330 0.500

=====

Entry 4:
Nd2Al3Cu PBE-GGA relaxed; E_form = -0.40 eV/atom
1.0
0.000 4.531 7.849
3.812 0.000 7.849
3.812 4.531 0.000
Nd Al Cu
4 6 2
Direct
0.243 0.757 0.757
0.250 0.250 0.250
0.750 0.750 0.750
0.757 0.243 0.243
0.162 0.668 0.332
0.331 0.331 0.669
0.332 0.838 0.162
0.668 0.162 0.838
0.669 0.669 0.331
0.838 0.332 0.668
0.168 0.168 0.832
0.832 0.832 0.168

=====

Entry 5:
DFT (PBE-GGA) results for crystalline BaPrU2O8 at its relaxed geometry.

```
BaPrU2O8
1.0
-2.842 2.842 5.532
2.842 -2.842 5.532
2.842 2.842 -5.532
Ba Pr U O
1 1 2 8
Direct
0.000 0.000 0.000
0.250 0.750 0.500
0.500 0.500 0.000
0.750 0.250 0.500
0.082 0.140 0.517
0.188 0.614 0.022
0.386 0.408 0.574
0.436 0.918 0.058
0.592 0.166 0.978
0.623 0.564 0.483
0.834 0.812 0.426
0.860 0.377 0.942
```

=====

Entry 6:
DFT (PBE-GGA) results for crystalline CsUAu2S4 at its relaxed geometry.

```
CsUAu2S4
1.0
5.871 0.000 0.000
0.000 8.918 0.000
0.000 0.000 9.806
Cs U Au S
2 2 4 8
Direct
0.000 0.000 0.000
0.500 0.500 0.500
0.000 0.000 0.500
0.500 0.500 0.000
0.000 0.500 0.154
0.000 0.500 0.846
0.500 0.000 0.346
0.500 0.000 0.654
0.201 0.172 0.331
0.201 0.828 0.669
0.299 0.328 0.831
0.299 0.672 0.169
0.701 0.328 0.169
0.701 0.672 0.831
0.799 0.172 0.669
0.799 0.828 0.331
```

=====

Number 1: total energy -0.1727 hartree per atom. Number 2: total energy -0.2329 hartree per atom. Number 3: total energy -0.2247 hartree per atom. Number 4: total energy -0.1671 hartree per atom. Number 5: total energy -0.3261 hartree per atom. Number 6: total energy -0.1875 hartree per atom.